1.
The following is a DFT calculation (GGA-PBE) of a geometry-optimized Ta2OsAu structure.

Structure (CIF):
```
data_Ta2OsAu
_chemical_formula_sum 'Ta2 Os1 Au1'
_symmetry_space_group_name_H-M 'P 4/m m m'
_symmetry_Int_Tables_number 123
_symmetry_space_group_name_Hall '-P 4 2'
_cell_length_a 2.9870
_cell_length_b 2.9870
_cell_length_c 7.6791
_cell_angle_alpha 90.00
_cell_angle_beta 90.00
_cell_angle_gamma 90.00
loop_
_atom_site_label
_atom_site_type_symbol
_atom_site_fract_x
_atom_site_fract_y
_atom_site_fract_z
Ta1 Ta 0.0000 0.0000 0.2284
Os1 Os 0.5000 0.5000 0.0000
Au1 Au 0.5000 0.5000 0.5000
```

Calculated values
The calculation puts the density of states at the Fermi level at 3.06 states/eV/cell. The calculation puts the total energy at -9.70 eV/atom. As for the theoretical density: 18.16 g cm⁻³. The formation energy comes out at -0.14 eV/atom. As for the size of the total moment: 0.00 μB/cell.



2.
The following is a DFT calculation (GGA-PBE) of a geometry-optimized KRhPb2 structure.

Structure (CIF):
```
data_KRhPb2
_chemical_formula_sum 'K2 Rh2 Pb4'
_symmetry_space_group_name_H-M 'C m m m'
_symmetry_Int_Tables_number 65
_symmetry_space_group_name_Hall '-C 2 2'
_cell_length_a 6.4403
_cell_length_b 9.4692
_cell_length_c 3.3624
_cell_angle_alpha 90.00
_cell_angle_beta 90.00
_cell_angle_gamma 90.00
loop_
_atom_site_label
_atom_site_type_symbol
_atom_site_fract_x
_atom_site_fract_y
_atom_site_fract_z
K1 K 0.0000 0.0000 0.0000
Rh1 Rh 0.0000 0.5000 0.0000
Pb1 Pb 0.2500 0.2500 0.5000
```

Calculated values
The calculation puts the density of states at the Fermi level at 8.95 states/eV/cell. The calculation puts the total energy at -3.57 eV/atom. As for the theoretical density: 9.01 g cm⁻³. The formation energy comes out at 0.39 eV/atom. As for the size of the total moment: 0.01 μB/cell.



3.
The following is a DFT calculation (GGA-PBE) of a geometry-optimized LiMg3 structure.

Structure (CIF):
```
data_LiMg3
_chemical_formula_sum 'Li2 Mg6'
_symmetry_space_group_name_H-M 'C 1 2/m 1'
_symmetry_Int_Tables_number 12
_cell_length_a 10.3945
_cell_length_b 3.1900
_cell_length_c 5.3926
_cell_angle_alpha 90.00
_cell_angle_beta 101.81
_cell_angle_gamma 90.00
loop_
_symmetry_equiv_pos_as_xyz
'x,y,z'
'-x,-y,-z'
'-x,y,-z'
'x,-y,z'
'x+1/2,y+1/2,z'
'-x+1/2,-y+1/2,-z'
'-x+1/2,y+1/2,-z'
'x+1/2,-y+1/2,z'
loop_
_atom_site_label
_atom_site_type_symbol
_atom_site_fract_x
_atom_site_fract_y
_atom_site_fract_z
Li1 Li 0.0000 0.0000 0.0000
Mg1 Mg 0.0000 0.5000 0.5000
Mg2 Mg 0.2479 0.5000 0.2456
```

Calculated values
The calculation puts the density of states at the Fermi level at 2.55 states/eV/cell. The calculation puts the total energy at -1.69 eV/atom. As for the theoretical density: 1.52 g cm⁻³. The formation energy comes out at -0.01 eV/atom. As for the size of the total moment: 0.00 μB/cell.



4.
The following is a DFT calculation (GGA-PBE) of a geometry-optimized SbPbAu structure.

Structure (CIF):
```
data_SbPbAu
_chemical_formula_sum 'Sb2 Pb2 Au2'
_symmetry_space_group_name_H-M 'I m m 2'
_symmetry_Int_Tables_number 44
_cell_length_a 3.4979
_cell_length_b 3.5080
_cell_length_c 12.5457
_cell_angle_alpha 90.00
_cell_angle_beta 90.00
_cell_angle_gamma 90.00
loop_
_symmetry_equiv_pos_as_xyz
'x,y,z'
'-x,-y,z'
'-x,y,z'
'x,-y,z'
'x+1/2,y+1/2,z+1/2'
'-x+1/2,-y+1/2,z+1/2'
'-x+1/2,y+1/2,z+1/2'
'x+1/2,-y+1/2,z+1/2'
loop_
_atom_site_label
_atom_site_type_symbol
_atom_site_fract_x
_atom_site_fract_y
_atom_site_fract_z
Sb1 Sb 0.0000 0.0000 0.0000
Pb1 Pb 0.0000 0.0000 0.7103
Au1 Au 0.0000 0.0000 0.3671
```

Calculated values
The calculation puts the density of states at the Fermi level at 2.03 states/eV/cell. The calculation puts the total energy at -3.68 eV/atom. As for the theoretical density: 11.35 g cm⁻³. As for the size of the total moment: 0.00 μB/cell. As for the uncorrected formation energy: 0.02 eV per atom.



5.
The following is a DFT calculation (GGA-PBE) of a geometry-optimized GeCO2F structure.

Structure (CIF):
```
data_GeCO2F
_chemical_formula_sum 'Ge1 C1 O2 F1'
_symmetry_space_group_name_H-M 'P 4/m m m'
_symmetry_Int_Tables_number 123
_symmetry_space_group_name_Hall '-P 4 2'
_cell_length_a 3.6983
_cell_length_b 3.6983
_cell_length_c 3.8129
_cell_angle_alpha 90.00
_cell_angle_beta 90.00
_cell_angle_gamma 90.00
loop_
_atom_site_label
_atom_site_type_symbol
_atom_site_fract_x
_atom_site_fract_y
_atom_site_fract_z
Ge1 Ge 0.0000 0.0000 0.0000
C1 C 0.5000 0.5000 0.5000
O1 O 0.0000 0.5000 0.0000
F1 F 0.0000 0.0000 0.5000
```

Calculated values
The calculation puts the density of states at the Fermi level at 1.88 states/eV/cell. The calculation puts the total energy at -4.81 eV/atom. As for the theoretical density: 4.32 g cm⁻³. As for the size of the total moment: 0.99 μB/cell. As for the uncorrected formation energy: 0.31 eV per atom.



6.
The following is a DFT calculation (GGA-PBE) of a geometry-optimized PaV2In structure.

Structure (CIF):
```
data_PaV2In
_chemical_formula_sum 'Pa3 V6 In3'
_symmetry_space_group_name_H-M 'R -3 m'
_symmetry_Int_Tables_number 166
_symmetry_space_group_name_Hall '-R 3 2"'
_cell_length_a 3.2328
_cell_length_b 3.2328
_cell_length_c 24.9347
_cell_angle_alpha 90.00
_cell_angle_beta 90.00
_cell_angle_gamma 120.00
loop_
_atom_site_label
_atom_site_type_symbol
_atom_site_fract_x
_atom_site_fract_y
_atom_site_fract_z
Pa1 Pa 0.0000 0.0000 0.0000
V1 V 0.0000 0.0000 0.2560
In1 In 0.0000 0.0000 0.5000
```

Calculated values
The calculation puts the density of states at the Fermi level at 14.91 states/eV/cell. The calculation puts the total energy at -7.20 eV/atom. As for the theoretical density: 9.88 g cm⁻³. The formation energy comes out at 0.41 eV/atom. As for the size of the total moment: 0.00 μB/cell.



Q: Look up the size of the total moment of the third one.
A: 0.00 μB/cell